Material: PuNiMo
Method: DFT, PBE
State: optimized geometry

extended XYZ file:
```
6
Lattice="5.237 0.101 0.157 -0.487 5.205 0.379 -1.660 -1.998 3.170" Properties=species:S:1:pos:R:3 pbc="T T T"
Pu 2.201 4.323 1.231
Pu 0.890 -1.015 2.476
Mo 0.000 0.000 0.000
Mo 1.545 1.654 1.853
Ni 4.142 2.594 1.157
Ni -1.052 0.713 2.549
```

Computed properties:
Energy relative to the lowest polymorph listed for this composition = 0 meV/atom
Energy of formation = 0.258 eV/atom

Material: LiTa2Ir
Method: DFT, PBE
State: optimized geometry

extended XYZ file:
```
4
Lattice="3.861 0.000 0.000 0.000 4.040 0.000 0.000 0.000 4.040" Properties=species:S:1:pos:R:3 pbc="T T T"
Ir 1.931 2.020 0.000
Li 1.931 0.000 2.020
Ta 0.000 0.000 0.000
Ta 0.000 2.020 2.020
```

Computed properties:
Energy of formation = -0.111 eV/atom